(1)
{"formula": "CsLiRh3", "functional": "PBE-GGA", "state": "optimized geometry", "lattice": [[4.988, 0.000, 0.000], [0.000, 4.988, 0.000], [0.000, 0.000, 4.988]], "species": ["Li", "Rh", "Rh", "Rh", "Cs"], "fractional_positions": [[0.500, 0.500, 0.500], [0.500, 0.000, 0.000], [0.000, 0.000, 0.500], [0.000, 0.500, 0.000], [0.000, 0.000, 0.000]], "de_polymorph_ev_per_fu": 3.45, "dos_at_fermi_per_ev_cell": 4.14, "total_energy_ev_per_cell": -15.90, "spacegroup": "Pm-3m (221)", "delta_e_f_ev_per_atom": 1.784}

(2)
{"formula": "Tb2Pm6DyHo", "functional": "PBE-GGA", "state": "optimized geometry", "lattice": [[9.186, -2.036, -2.113], [0.808, 8.647, -2.042], [0.808, -2.361, 8.566]], "species": ["Pm", "Pm", "Pm", "Pm", "Pm", "Pm", "Pm", "Pm", "Pm", "Pm", "Pm", "Pm", "Tb", "Tb", "Tb", "Tb", "Ho", "Ho", "Dy", "Dy"], "fractional_positions": [[0.187, 0.567, 0.013], [0.381, 0.508, 0.291], [0.119, 0.709, 0.492], [0.687, 0.013, 0.567], [0.813, 0.433, 0.987], [0.055, 0.119, 0.760], [0.881, 0.291, 0.508], [0.555, 0.760, 0.119], [0.945, 0.881, 0.240], [0.313, 0.987, 0.433], [0.619, 0.492, 0.709], [0.445, 0.240, 0.881], [0.545, 0.200, 0.299], [0.955, 0.701, 0.800], [0.045, 0.299, 0.200], [0.455, 0.800, 0.701], [0.250, 0.410, 0.590], [0.750, 0.590, 0.410], [0.750, 0.026, 0.974], [0.250, 0.974, 0.026]], "dos_at_fermi_per_ev_cell": 27.90, "total_energy_ev_per_cell": -91.56, "spacegroup": "C2/c (15)", "delta_e_f_ev_per_atom": 0.116}

(3)
{"formula": "SrSiO", "functional": "PBE-GGA", "state": "optimized geometry", "lattice": [[3.013, 0.000, 0.000], [-1.507, 3.773, 0.000], [0.000, 0.000, 10.067]], "species": ["Si", "Si", "O", "O", "Sr", "Sr"], "fractional_positions": [[0.163, 0.326, 0.500], [0.627, 0.254, 0.000], [0.607, 0.214, 0.377], [0.607, 0.214, 0.623], [0.331, 0.663, 0.234], [0.331, 0.663, 0.766]], "dos_at_fermi_per_ev_cell": 1.76, "total_energy_ev_per_cell": -30.01, "spacegroup": "Amm2 (38)", "formation_energy_uncorrected_ev_per_atom": -0.981}

(4)
{"formula": "La2BeSiN", "functional": "PBE-GGA", "state": "optimized geometry", "lattice": [[-0.494, -0.082, -3.894], [6.337, -1.215, -0.779], [-4.027, -7.292, 0.665]], "species": ["Si", "Si", "N", "N", "Be", "Be", "La", "La", "La", "La"], "fractional_positions": [[0.250, 0.649, 0.293], [0.750, 0.351, 0.707], [0.750, 0.181, 0.172], [0.250, 0.819, 0.828], [0.750, 0.445, 0.242], [0.250, 0.555, 0.758], [0.250, 0.208, 0.393], [0.250, 0.215, 0.960], [0.750, 0.785, 0.040], [0.750, 0.792, 0.607]], "de_polymorph_ev_per_fu": 0.00, "dos_at_fermi_per_ev_cell": 6.07, "total_energy_ev_per_cell": -63.92, "spacegroup": "P2_1/m (11)", "formation_energy_uncorrected_ev_per_atom": -0.926}